DFT (GGA-PBE) results for a relaxed structure of Sm3YRh8.

abc: 9.314 9.314 9.314
angles: 33.56 33.56 33.56
Element x y z (fractional)
Sm: 0.000 0.000 0.000
Sm: 0.125 0.125 0.125
Sm: 0.625 0.625 0.625
Y: 0.500 0.500 0.500
Rh: 0.062 0.062 0.562
Rh: 0.062 0.562 0.062
Rh: 0.063 0.563 0.563
Rh: 0.312 0.312 0.312
Rh: 0.562 0.062 0.062
Rh: 0.563 0.063 0.563
Rh: 0.563 0.563 0.063
Rh: 0.813 0.813 0.813

Calculated values
Crystal system: trigonal
Space-group type: R3m, No. 160
Raw total energy (eV/f.u.): -87.9

DFT (GGA-PBE) results for a relaxed structure of TbPmEuEr.

abc: 5.771 5.771 5.771
angles: 60.00 60.00 60.00
Element x y z (fractional)
Tb: 0.000 0.000 0.000
Pm: 0.750 0.750 0.750
Eu: 0.250 0.250 0.250
Er: 0.500 0.500 0.500

Calculated values
Crystal system: cubic
Space-group type: F-43m, No. 216
Raw total energy (eV/f.u.): -23.6

Summary of energy of formation in meV/atom
-704, 156
(order as listed above)